GGA-PBE AcTmAl2, optimized geometry; uncorrected energy = -16.2 eV per cell; symmetry = R-3m; density = 6.5 Mg/m³; ΔH_f (0 K) = -0.1 eV per formula unit
1.0
3.732 0.000 0.000
1.866 3.232 0.000
1.866 1.077 9.553
Tm Al Ac
1 2 1
direct
0.000 0.000 0.000 Tm
0.743 0.743 0.770 Al
0.257 0.257 0.230 Al
0.500 0.500 0.500 Ac